1.
First-principles (PBE) data for a relaxed structure of KAs2Os, as listed in Alexandria.

Values from the calculation:
The total energy comes out at -4.877 eV per atom.

CIF file:
```
data_KAs2Os
_symmetry_space_group_name_H-M 'F m -3 m'
_symmetry_Int_Tables_number 225
_symmetry_space_group_name_Hall '-F 4 2 3'
_cell_length_a 6.586
_cell_length_b 6.586
_cell_length_c 6.586
_cell_angle_alpha 90.00
_cell_angle_beta 90.00
_cell_angle_gamma 90.00
loop_
_atom_site_label
_atom_site_type_symbol
_atom_site_fract_x
_atom_site_fract_y
_atom_site_fract_z
_atom_site_occupancy
K1 K 0.000 0.000 0.000 1
As1 As 0.250 0.250 0.250 1
Os1 Os 0.000 0.000 0.500 1
```

***

2.
First-principles (PBE) data for a relaxed structure of KAs2Os, as listed in Alexandria.

Values from the calculation:
The total energy comes out at -5.233 eV per atom.

CIF file:
```
data_KAs2Os
_symmetry_space_group_name_H-M 'P m m m'
_symmetry_Int_Tables_number 47
_symmetry_space_group_name_Hall '-P 2 2'
_cell_length_a 2.844
_cell_length_b 4.138
_cell_length_c 7.188
_cell_angle_alpha 90.00
_cell_angle_beta 90.00
_cell_angle_gamma 90.00
loop_
_atom_site_label
_atom_site_type_symbol
_atom_site_fract_x
_atom_site_fract_y
_atom_site_fract_z
_atom_site_occupancy
K1 K 0.000 0.000 0.000 1
As1 As 0.500 0.500 0.304 1
Os1 Os 0.500 0.000 0.500 1
```

***

3.
First-principles (PBE) data for a relaxed structure of KAs2Os, as listed in Alexandria.

Values from the calculation:
The total energy comes out at -4.380 eV per atom.

CIF file:
```
data_KAs2Os
_symmetry_space_group_name_H-M 'I -4 m 2'
_symmetry_Int_Tables_number 119
_symmetry_space_group_name_Hall 'I -4 -2'
_cell_length_a 4.095
_cell_length_b 4.095
_cell_length_c 9.263
_cell_angle_alpha 90.00
_cell_angle_beta 90.00
_cell_angle_gamma 90.00
loop_
_atom_site_label
_atom_site_type_symbol
_atom_site_fract_x
_atom_site_fract_y
_atom_site_fract_z
_atom_site_occupancy
K1 K 0.000 0.000 0.000 1
As1 As 0.000 0.000 0.500 1
As2 As 0.000 0.500 0.250 1
Os1 Os 0.000 0.500 0.750 1
```

***

N(E_F): 7.4, 2.6, 8.5 (states/eV/cell)
Formation enthalpy at 0 K: 0.5295, 0.1735, 1.0266 (eV/atom)